(1)
First-principles (PBE-GGA) data for an optimized crystal structure of As3Se, as listed in Alexandria via LeMat-Bulk.

Summary:
E: -61.84 eV for the cell shown
M_tot: 0.00 μB per formula unit
energy above the most stable polymorph in this dataset: 1.65 eV per formula unit
formation energy from raw total energies: 493.1 meV per atom

a b c (Å): 6.2844 6.2844 9.7742
angles (deg): 90.00 90.00 120.00
Positions (direct):
Se 0.3333 0.6667 0.2500
As 0.5000 0.5000 0.5000
As 0.1979 0.8021 0.7500
As 0.5000 0.5000 0.0000
As 0.1979 0.3957 0.7500
As 0.0000 0.5000 0.0000
As 0.6043 0.8021 0.7500
As 0.0000 0.5000 0.5000
As 0.3957 0.1979 0.2500
Se 0.0000 0.0000 0.5000
Se 0.0000 0.0000 0.0000
As 0.5000 0.0000 0.5000
As 0.5000 0.0000 0.0000
As 0.8021 0.1979 0.2500
As 0.8021 0.6043 0.2500
Se 0.6667 0.3333 0.7500

***

(2)
First-principles (PBE-GGA) data for an optimized crystal structure of As3Se, as listed in Alexandria via LeMat-Bulk.

Summary:
E: -12.68 eV for the cell shown
M_tot: 0.00 μB per formula unit
energy above the most stable polymorph in this dataset: 4.43 eV per formula unit
formation energy from raw total energies: 1188.5 meV per atom

a b c (Å): 5.1090 5.1090 5.1090
angles (deg): 90.00 90.00 90.00
Positions (direct):
As 0.5000 0.0000 0.0000
As 0.0000 0.5000 0.0000
Se 0.0000 0.0000 0.0000
As 0.0000 0.0000 0.5000

***

(3)
First-principles (PBE-GGA) data for an optimized crystal structure of As3Se4, as listed in Alexandria via LeMat-Bulk.

Summary:
E: -24.26 eV for the cell shown
M_tot: 0.00 μB per formula unit
formation energy from raw total energies: 518.1 meV per atom

a b c (Å): 6.1918 6.1918 4.7079
angles (deg): 90.00 90.00 120.00
Positions (direct):
Se 0.3333 0.6667 0.5000
Se 0.0000 0.0000 0.2702
As 0.5000 0.5000 0.0000
As 0.0000 0.5000 0.0000
As 0.5000 0.0000 0.0000
Se 0.6667 0.3333 0.5000
Se 0.0000 0.0000 0.7298

***

(4)
First-principles (PBE-GGA) data for an optimized crystal structure of AsSe5, as listed in Alexandria via LeMat-Bulk.

Summary:
E: -20.64 eV for the cell shown
M_tot: 0.00 μB per formula unit
energy above the most stable polymorph in this dataset: 1.31 eV per formula unit
formation energy from raw total energies: 239.1 meV per atom

a b c (Å): 5.9330 5.9330 8.7160
angles (deg): 90.00 90.00 143.73
Positions (direct):
Se 0.7965 0.2035 0.5000
Se 0.1302 0.8698 0.5000
As 0.9811 0.0189 0.0000
Se 0.6386 0.3614 0.0000
Se 0.4634 0.5366 0.5000
Se 0.3235 0.6765 0.0000

***

(5)
First-principles (PBE-GGA) data for an optimized crystal structure of AsSe, as listed in Alexandria via LeMat-Bulk.

Summary:
E: -15.05 eV for the cell shown
M_tot: 0.00 μB per formula unit
formation energy from raw total energies: 303.8 meV per atom

a b c (Å): 3.9868 3.9868 10.5165
angles (deg): 90.00 90.00 120.00
Positions (direct):
Se 0.3333 0.6667 0.3821
Se 0.6667 0.3333 0.8821
As 0.6667 0.3333 0.4889
As 0.3333 0.6667 0.9889

***

(6)
First-principles (PBE-GGA) data for an optimized crystal structure of As3Se, as listed in Alexandria via LeMat-Bulk.

Summary:
E: -15.89 eV for the cell shown
M_tot: 0.00 μB per formula unit
energy above the most stable polymorph in this dataset: 1.22 eV per formula unit
formation energy from raw total energies: 385.7 meV per atom

a b c (Å): 5.9456 5.9456 5.9456
angles (deg): 145.07 136.71 56.79
Positions (direct):
As 0.0000 0.5000 0.5000
Se 0.5000 0.0000 0.5000
As 0.2044 0.2044 0.0000
As 0.7956 0.7956 0.0000

***

(7)
First-principles (PBE-GGA) data for an optimized crystal structure of As3Se, as listed in Alexandria via LeMat-Bulk.

Summary:
E: -16.57 eV for the cell shown
M_tot: 0.00 μB per formula unit
energy above the most stable polymorph in this dataset: 0.54 eV per formula unit
formation energy from raw total energies: 215.7 meV per atom

a b c (Å): 5.2242 5.2242 5.2242
angles (deg): 137.09 103.73 91.74
Positions (direct):
Se 0.4408 0.7500 0.6908
As 0.5079 0.5264 0.9815
As 0.9551 0.9736 0.9815
As 0.9296 0.2500 0.6796

***

(8)
First-principles (PBE-GGA) data for an optimized crystal structure of AsSe, as listed in Alexandria via LeMat-Bulk.

Summary:
E: -16.21 eV for the cell shown
M_tot: 0.00 μB per formula unit
formation energy from raw total energies: 14.3 meV per atom

a b c (Å): 3.9808 4.5452 6.7201
angles (deg): 61.09 90.00 90.00
Positions (direct):
As 0.7500 0.8769 0.9160
Se 0.7500 0.3738 0.2659
As 0.2500 0.1231 0.0840
Se 0.2500 0.6262 0.7341

***

(9)
First-principles (PBE-GGA) data for an optimized crystal structure of As3Se4, as listed in Alexandria via LeMat-Bulk.

Summary:
E: -25.81 eV for the cell shown
M_tot: 0.00 μB per formula unit
formation energy from raw total energies: 296.3 meV per atom

a b c (Å): 12.8788 12.8788 12.8788
angles (deg): 164.12 164.12 22.52
Positions (direct):
Se 0.4449 0.4449 0.0000
As 0.3108 0.3108 0.0000
Se 0.1535 0.1535 0.0000
As 0.0000 0.0000 0.0000
Se 0.5551 0.5551 0.0000
As 0.6892 0.6892 0.0000
Se 0.8465 0.8465 0.0000

***

(10)
First-principles (PBE-GGA) data for an optimized crystal structure of As2Se3, as listed in Alexandria via LeMat-Bulk.

Summary:
E: -40.79 eV for the cell shown
M_tot: 0.00 μB per formula unit
formation energy from raw total energies: -128.7 meV per atom

a b c (Å): 3.7783 7.4521 9.6545
angles (deg): 94.13 90.00 104.66
Positions (direct):
Se 0.7762 0.5525 0.3339
As 0.3730 0.7463 0.5622
Se 0.2238 0.4475 0.6661
Se 0.0478 0.0952 0.2946
As 0.7937 0.5875 0.8614
As 0.2063 0.4125 0.1386
Se 0.6357 0.2711 0.9725
As 0.6270 0.2537 0.4378
Se 0.9522 0.9048 0.7054
Se 0.3643 0.7289 0.0275

***

(11)
First-principles (PBE-GGA) data for an optimized crystal structure of AsSe, as listed in Alexandria via LeMat-Bulk.

Summary:
E: -15.75 eV for the cell shown
M_tot: 0.00 μB per formula unit
formation energy from raw total energies: 129.0 meV per atom

a b c (Å): 8.8846 8.8846 8.8846
angles (deg): 157.09 157.18 32.55
Positions (direct):
Se 0.1299 0.8799 0.7500
As 0.4281 0.6781 0.2500
Se 0.8701 0.1201 0.2500
As 0.5719 0.3219 0.7500

***

(12)
First-principles (PBE-GGA) data for an optimized crystal structure of As3Se, as listed in Alexandria via LeMat-Bulk.

Summary:
E: -17.06 eV for the cell shown
M_tot: 0.00 μB per formula unit
energy above the most stable polymorph in this dataset: 0.05 eV per formula unit
formation energy from raw total energies: 92.4 meV per atom

a b c (Å): 6.9338 6.9338 6.9338
angles (deg): 32.24 32.24 32.24
Positions (direct):
As 0.2458 0.2458 0.2458
Se 0.0000 0.0000 0.0000
As 0.5000 0.5000 0.5000
As 0.7542 0.7542 0.7542

***

(13)
First-principles (PBE-GGA) data for an optimized crystal structure of As5Se, as listed in Alexandria via LeMat-Bulk.

Summary:
E: -22.88 eV for the cell shown
M_tot: 0.00 μB per formula unit
energy above the most stable polymorph in this dataset: 3.31 eV per formula unit
formation energy from raw total energies: 641.4 meV per atom

a b c (Å): 5.5940 5.5940 5.5940
angles (deg): 60.00 60.00 60.00
Positions (direct):
As 0.6309 0.6309 0.1072
As 0.1072 0.6309 0.6309
As 0.6309 0.1072 0.6309
Se 0.0000 0.0000 0.0000
As 0.6309 0.6309 0.6309
As 0.2500 0.2500 0.2500

***

(14)
First-principles (PBE-GGA) data for an optimized crystal structure of AsSe, as listed in Alexandria via LeMat-Bulk.

Summary:
E: -15.43 eV for the cell shown
M_tot: 0.00 μB per formula unit
formation energy from raw total energies: 208.4 meV per atom

a b c (Å): 3.7321 3.7321 7.3006
angles (deg): 90.00 90.00 120.00
Positions (direct):
As 0.0000 0.0000 0.5000
Se 0.3333 0.6667 0.2500
As 0.0000 0.0000 0.0000
Se 0.6667 0.3333 0.7500

***

(15)
First-principles (PBE-GGA) data for an optimized crystal structure of AsSe, as listed in Alexandria via LeMat-Bulk.

Summary:
E: -30.86 eV for the cell shown
M_tot: 0.00 μB per formula unit
formation energy from raw total energies: 210.1 meV per atom

a b c (Å): 8.3343 8.3343 3.4920
angles (deg): 90.00 90.00 90.00
Positions (direct):
Se 0.2226 0.7774 0.5000
Se 0.2774 0.2774 0.0000
As 0.3736 0.6264 0.0000
Se 0.7226 0.7226 0.0000
As 0.8736 0.8736 0.5000
As 0.6264 0.3736 0.0000
As 0.1264 0.1264 0.5000
Se 0.7774 0.2226 0.5000

***

(16)
First-principles (PBE-GGA) data for an optimized crystal structure of As3Se, as listed in Alexandria via LeMat-Bulk.

Summary:
E: -34.22 eV for the cell shown
M_tot: 0.00 μB per formula unit
energy above the most stable polymorph in this dataset: 0.00 eV per formula unit
formation energy from raw total energies: 80.2 meV per atom

a b c (Å): 5.6483 5.6483 5.5828
angles (deg): 90.00 90.00 89.32
Positions (direct):
As 0.7824 0.7559 0.7500
Se 0.2683 0.7317 0.2500
Se 0.7317 0.2683 0.7500
As 0.2176 0.2441 0.2500
As 0.7753 0.2247 0.2500
As 0.2247 0.7753 0.7500
As 0.7559 0.7824 0.2500
As 0.2441 0.2176 0.7500

***

(17)
First-principles (PBE-GGA) data for an optimized crystal structure of AsSe, as listed in Alexandria via LeMat-Bulk.

Summary:
E: -43.35 eV for the cell shown
M_tot: 0.00 μB per formula unit
formation energy from raw total energies: 454.7 meV per atom

a b c (Å): 7.6181 7.6181 7.6181
angles (deg): 90.00 90.00 90.00
Positions (direct):
As 0.0000 0.2500 0.5000
Se 0.5000 0.2500 0.0000
As 0.5000 0.0000 0.2500
As 0.2500 0.5000 0.0000
As 0.7500 0.5000 0.0000
Se 0.0000 0.5000 0.7500
Se 0.0000 0.5000 0.2500
As 0.0000 0.7500 0.5000
Se 0.2500 0.0000 0.5000
As 0.5000 0.0000 0.7500
Se 0.5000 0.7500 0.0000
Se 0.7500 0.0000 0.5000

***

(18)
First-principles (PBE-GGA) data for an optimized crystal structure of AsSe, as listed in Alexandria via LeMat-Bulk.

Summary:
E: -24.01 eV for the cell shown
M_tot: 0.00 μB per formula unit
formation energy from raw total energies: 64.8 meV per atom

a b c (Å): 5.9800 5.9800 8.5185
angles (deg): 71.90 71.90 33.93
Positions (direct):
Se 0.3106 0.3106 0.3711
Se 0.2382 0.2382 0.8949
Se 0.0343 0.0343 0.6342
As 0.0216 0.0216 0.0443
As 0.5335 0.5335 0.2562
As 0.6951 0.6951 0.6326

***

(19)
First-principles (PBE-GGA) data for an optimized crystal structure of AsSe, as listed in Alexandria via LeMat-Bulk.

Summary:
E: -31.73 eV for the cell shown
M_tot: 0.00 μB per formula unit
formation energy from raw total energies: 100.2 meV per atom

a b c (Å): 3.9654 5.6103 7.9695
angles (deg): 90.00 90.00 90.00
Positions (direct):
As 0.2500 0.2514 0.3791
As 0.2500 0.2486 0.8791
Se 0.7500 0.2530 0.6069
As 0.7500 0.7486 0.6209
Se 0.2500 0.7530 0.8931
Se 0.2500 0.7470 0.3931
As 0.7500 0.7514 0.1209
Se 0.7500 0.2470 0.1069

***

(20)
First-principles (PBE-GGA) data for an optimized crystal structure of AsSe, as listed in Alexandria via LeMat-Bulk.

Summary:
E: -14.73 eV for the cell shown
M_tot: 0.00 μB per formula unit
formation energy from raw total energies: 384.7 meV per atom

a b c (Å): 2.8138 2.8138 11.6257
angles (deg): 90.00 90.00 103.06
Positions (direct):
As 0.0000 0.0000 0.9681
Se 0.5000 0.5000 0.2013
As 0.5000 0.5000 0.7819
Se 0.0000 0.0000 0.5487